This record from Alexandria describes a geometry-optimized TaFe2Sb structure. The functional is GGA-PBE.

Computed properties:
The uncorrected formation energy comes out at 593 meV/atom. The crystal system is tetragonal. The raw total energy comes out at -7.6317 eV/atom. The total magnetization comes out at 4.03 μB/f.u.

Structure (CIF):
```
data_TaFe2Sb
_chemical_formula_sum 'Ta2 Fe4 Sb2'
_cell_length_a 5.705
_cell_length_b 5.705
_cell_length_c 5.705
_cell_angle_alpha 103.26
_cell_angle_beta 103.26
_cell_angle_gamma 122.76
_space_group_name_H-M_alt 'P 1'
_space_group_IT_number 1
loop_
_space_group_symop_operation_xyz
'x,y,z'
loop_
_atom_site_label
_atom_site_fract_x
_atom_site_fract_y
_atom_site_fract_z
Ta1 0.000 0.000 0.000
Ta2 0.750 0.250 0.500
Fe1 0.117 0.125 0.492
Fe2 0.375 0.883 0.008
Fe3 0.633 0.625 0.508
Fe4 0.875 0.367 0.992
Sb1 0.250 0.750 0.500
Sb2 0.500 0.500 0.000
```